[1]
## HfTc2Ru2 (PBE)

Data for crystalline HfTc2Ru2 at its relaxed geometry.

a b c (Å): 7.520 7.520 2.807
angles (deg): 90.00 90.00 90.00
Space group P4/mbm (No. 127)
Symmetry-distinct sites (fractional):
Hf 0.000 0.000 0.000 (multiplicity 2)
Tc 0.122 0.378 0.000 (multiplicity 4)
Ru 0.173 0.673 0.500 (multiplicity 4)

Computed properties:
Offset from the most stable computed form: 0.04 eV/f.u.
Density: 12.06 g cm⁻³
M_tot: 0.0 μB/f.u.
E_form: -0.030 eV/atom

[2]
## Hf4TcRu3 (PBE)

Data for crystalline Hf4TcRu3 at its relaxed geometry.

a b c (Å): 3.250 4.590 9.174
angles (deg): 90.00 90.00 90.00
Space group Pmmm (No. 47)
Symmetry-distinct sites (fractional):
Hf 0.000 0.000 0.000 (multiplicity 1)
Hf 0.000 0.000 0.500 (multiplicity 1)
Hf 0.000 0.500 0.248 (multiplicity 2)
Tc 0.500 0.500 0.000 (multiplicity 1)
Ru 0.500 0.000 0.253 (multiplicity 2)
Ru 0.500 0.500 0.500 (multiplicity 1)

Computed properties:
Density: 13.53 g cm⁻³
M_tot: 0.0 μB/f.u.
E_form: -0.759 eV/atom

[3]
## HfTc3Ru (PBE)

Data for crystalline HfTc3Ru at its relaxed geometry.

a b c (Å): 4.630 4.630 4.630
angles (deg): 90.00 90.00 90.00
Space group Pm-3m (No. 221)
Symmetry-distinct sites (fractional):
Hf 0.000 0.000 0.000 (multiplicity 1)
Tc 0.000 0.000 0.500 (multiplicity 3)
Ru 0.500 0.500 0.500 (multiplicity 1)

Computed properties:
Offset from the most stable computed form: 4.59 eV/f.u.
Density: 9.60 g cm⁻³
M_tot: 0.0 μB/f.u.
E_form: 2.163 eV/atom

[4]
## Hf2TcRu (PBE)

Data for crystalline Hf2TcRu at its relaxed geometry.

a b c (Å): 4.600 4.600 3.241
angles (deg): 90.00 90.00 90.00
Space group P4/mmm (No. 123)
Symmetry-distinct sites (fractional):
Hf 0.000 0.500 0.000 (multiplicity 2)
Tc 0.000 0.000 0.500 (multiplicity 1)
Ru 0.500 0.500 0.500 (multiplicity 1)

Computed properties:
Offset from the most stable computed form: 0.00 eV/f.u.
Density: 13.46 g cm⁻³
M_tot: 0.0 μB/f.u.
E_form: -0.675 eV/atom

Question: Which of these has the highest E_form?
Answer: HfTc3Ru